[1]
Material: AcNbGe2
Method: DFT, PBE
State: optimized geometry

Geometry as POSCAR:
```
AcNbGe2
1.0
4.048 0.000 0.000
2.024 3.506 0.000
2.024 1.169 6.935
Ac Ge Nb
1 2 1
Direct
0.500 0.500 0.500 Ac
0.731 0.731 0.807 Ge
0.269 0.269 0.193 Ge
0.000 0.000 0.000 Nb
```

Results
E_form: -376 meV per atom
Magnetic moment: 0.0 Bohr magnetons per cell
DOS(E_F): 0.33 states/eV/atom
SG: No. 166
Energy: -6.230 eV/atom
E above lowest polymorph: 0 meV per atom
Calculated volume: 98.4 Å³/f.u.

***

[2]
Material: AcNbGe
Method: DFT, PBE
State: optimized geometry

Geometry as POSCAR:
```
AcNbGe
1.0
4.158 0.000 0.000
0.000 4.158 0.000
0.000 0.000 9.046
Ac Nb Ge
2 2 2
Direct
0.500 0.000 0.160 Ac
0.000 0.500 0.840 Ac
0.500 0.500 0.500 Nb
0.000 0.000 0.500 Nb
0.500 0.000 0.701 Ge
0.000 0.500 0.299 Ge
```

Results
E_form: -475 meV per atom
Magnetic moment: 0.0 Bohr magnetons per cell
DOS(E_F): 0.62 states/eV/atom
SG: No. 129
Energy: -6.740 eV/atom
E above lowest polymorph: 0 meV per atom
Calculated volume: 78.2 Å³/f.u.

***

[3]
Material: AcNbGe
Method: DFT, PBE
State: optimized geometry

Geometry as POSCAR:
```
AcNbGe
1.0
-0.896 2.835 -4.019
-2.897 -2.749 -1.294
-7.315 2.803 3.609
Ac Nb Ge
2 2 2
Direct
0.750 0.659 0.682 Ac
0.250 0.341 0.318 Ac
0.500 0.000 0.000 Nb
0.000 0.000 0.000 Nb
0.750 0.855 0.290 Ge
0.250 0.145 0.710 Ge
```

Results
E_form: -31 meV per atom
Magnetic moment: 0.0 Bohr magnetons per cell
DOS(E_F): 1.20 states/eV/atom
SG: No. 63
Energy: -6.296 eV/atom
E above lowest polymorph: 445 meV per atom
Calculated volume: 87.8 Å³/f.u.

***

[4]
Material: AcNb4Ge2
Method: DFT, PBE
State: optimized geometry

Geometry as POSCAR:
```
AcNb4Ge2
1.0
4.669 0.000 0.000
0.000 4.702 -1.036
0.000 -0.857 7.297
Ac Ge Nb
1 2 4
Direct
0.000 0.000 0.000 Ac
0.500 0.601 0.202 Ge
0.500 0.399 0.798 Ge
0.500 0.809 0.617 Nb
0.000 0.706 0.412 Nb
0.500 0.191 0.383 Nb
0.000 0.294 0.588 Nb
```

Results
E_form: -148 meV per atom
Magnetic moment: 0.0 Bohr magnetons per cell
DOS(E_F): 0.96 states/eV/atom
SG: No. 65
Energy: -7.808 eV/atom
Calculated volume: 156.0 Å³/f.u.

***

Q: Which of these has the lowest DOS(E_F)?
A: AcNbGe2